(1)
VASP calculation (PBE-GGA) on a relaxed TlCo2RhPb crystal.

The structure in extended XYZ format:
```
5
Lattice="4.8346 0.0000 0.0000 0.0000 5.0908 0.0000 0.0000 0.0000 4.8346" Properties=species:S:1:pos:R:3 pbc="T T T"
Pb 0.0000 0.0000 0.0000
Co 0.0000 0.0000 2.4173
Co 2.4173 0.0000 0.0000
Tl 2.4173 2.5454 2.4173
Rh 0.0000 2.5454 0.0000
```

Computed properties:
Calculated total energy in eV for the cell shown: -20.9
Calculated formation energy in eV per atom: 1.3435

=====

(2)
VASP calculation (PBE-GGA) on a relaxed ZrCoRhPb crystal.

The structure in extended XYZ format:
```
4
Lattice="-2.7964 3.6622 -0.2713 -3.2316 0.1975 -3.2898 -4.4593 -0.4135 1.1176" Properties=species:S:1:pos:R:3 pbc="T T T"
Pb -7.8655 2.5846 -1.8326
Co -5.2437 1.7231 -1.2217
Rh 0.0000 0.0000 0.0000
Zr -2.6218 0.8615 -0.6109
```

Computed properties:
Calculated total energy in eV for the cell shown: -27.7
Calculated formation energy in eV per atom: -0.2503

=====

(3)
VASP calculation (PBE-GGA) on a relaxed CoRu2Pb crystal.

The structure in extended XYZ format:
```
4
Lattice="2.9434 0.0085 0.0000 -0.0088 2.9434 0.0000 0.0000 0.0000 7.3020" Properties=species:S:1:pos:R:3 pbc="T T T"
Co 0.0000 0.0000 3.4348
Pb 1.4673 1.4759 5.3955
Ru 0.0000 0.0000 0.2490
Ru 1.4673 1.4759 1.8737
```

Computed properties:
Calculated total energy in eV for the cell shown: -27.3
Calculated formation energy in eV per atom: 0.5120

=====

(4)
VASP calculation (PBE-GGA) on a relaxed CoRu2Pb crystal.

The structure in extended XYZ format:
```
4
Lattice="9.0081 0.0282 0.0166 8.5240 2.9133 0.0166 8.5240 1.4302 2.5382" Properties=species:S:1:pos:R:3 pbc="T T T"
Co 13.2437 2.2221 1.3070
Pb 19.5936 3.2875 1.9337
Ru 25.8164 4.3316 2.5478
Ru 6.4864 1.0883 0.6401
```

Computed properties:
Calculated total energy in eV for the cell shown: -26.7
Calculated formation energy in eV per atom: 0.6671

=====

(5)
VASP calculation (PBE-GGA) on a relaxed CoRu2Pb crystal.

The structure in extended XYZ format:
```
8
Lattice="-4.7827 1.5647 2.6184 -2.8534 -0.5743 -4.8689 -4.8651 -4.7717 0.1096" Properties=species:S:1:pos:R:3 pbc="T T T"
Pb 0.0000 0.0000 0.0000
Pb -6.7330 -1.3559 0.8013
Ru -4.2123 -0.4012 0.8637
Ru -3.9474 -1.2419 -2.4968
Ru -6.7211 -3.2494 -1.1179
Ru -10.1217 -2.6702 -1.5309
Co -3.8181 0.4952 -1.1253
Co -5.7683 -2.4254 -2.9423
```

Computed properties:
Calculated total energy in eV for the cell shown: -48.8
Calculated formation energy in eV per atom: 1.2408

=====

(6)
VASP calculation (PBE-GGA) on a relaxed CoRu2Pb crystal.

The structure in extended XYZ format:
```
4
Lattice="4.7668 -0.0013 -0.0089 1.4498 4.5410 0.0089 -3.1015 -2.2792 2.8122" Properties=species:S:1:pos:R:3 pbc="T T T"
Co 3.1088 2.2702 0.0000
Pb 0.7288 2.2662 1.4106
Ru 6.2164 4.5396 0.0000
Ru 2.3861 -0.0058 1.4016
```

Computed properties:
Calculated total energy in eV for the cell shown: -27.4
Calculated formation energy in eV per atom: 0.4964

=====

(7)
VASP calculation (PBE-GGA) on a relaxed CoRuPb crystal.

The structure in extended XYZ format:
```
3
Lattice="-3.3421 -0.5015 2.5880 3.9448 -0.6228 1.4730 0.1784 3.0917 0.8295" Properties=species:S:1:pos:R:3 pbc="T T T"
Co 0.1699 2.9434 0.7897
Pb -0.8588 0.4002 2.4691
Ru 1.6484 1.7155 2.4612
```

Computed properties:
Calculated total energy in eV for the cell shown: -18.2
Polymorph energy (0 for the lowest one) in eV per atom: 0.0890
Calculated formation energy in eV per atom: 0.6339

=====

(8)
VASP calculation (PBE-GGA) on a relaxed CoRu2Pb crystal.

The structure in extended XYZ format:
```
4
Lattice="4.6193 0.0015 -0.0027 3.6838 2.7871 -0.0027 0.9505 0.3192 4.8966" Properties=species:S:1:pos:R:3 pbc="T T T"
Co 6.9403 2.3309 3.6685
Pb 2.3134 0.7770 1.2228
Ru 1.0131 0.3402 4.6781
Ru 4.5643 1.5329 2.6642
```

Computed properties:
Calculated total energy in eV for the cell shown: -27.4
Calculated formation energy in eV per atom: 0.4858

=====

(9)
VASP calculation (PBE-GGA) on a relaxed CoRuPb crystal.

The structure in extended XYZ format:
```
3
Lattice="5.1161 0.0149 -0.0033 2.9185 4.2021 0.0033 -3.8504 -2.4265 2.3370" Properties=species:S:1:pos:R:3 pbc="T T T"
Co 0.1496 0.0785 0.0000
Pb 2.6888 1.4112 0.0000
Ru 5.1961 2.7272 0.0000
```

Computed properties:
Calculated total energy in eV for the cell shown: -18.4
Polymorph energy (0 for the lowest one) in eV per atom: 0.0272
Calculated formation energy in eV per atom: 0.5721

=====

(10)
VASP calculation (PBE-GGA) on a relaxed CoRu2Pb crystal.

The structure in extended XYZ format:
```
4
Lattice="-4.5409 0.1746 1.2162 -3.2122 -1.8662 2.8859 0.2264 3.1549 3.6759" Properties=species:S:1:pos:R:3 pbc="T T T"
Co -3.6968 0.8334 3.9604
Pb -1.8637 0.4203 1.9968
Ru 0.1474 2.9720 3.5152
Ru -5.6505 1.1240 5.8703
```

Computed properties:
Calculated total energy in eV for the cell shown: -27.3
Calculated formation energy in eV per atom: 0.5115

=====

(11)
VASP calculation (PBE-GGA) on a relaxed Co3RuPb crystal.

The structure in extended XYZ format:
```
5
Lattice="4.5512 0.0000 0.0000 0.0000 4.5512 0.0000 0.0000 0.0000 4.5512" Properties=species:S:1:pos:R:3 pbc="T T T"
Pb 2.2756 2.2756 2.2756
Ru 0.0000 0.0000 0.0000
Co 0.0000 2.2756 0.0000
Co 0.0000 0.0000 2.2756
Co 2.2756 0.0000 0.0000
```

Computed properties:
Calculated total energy in eV for the cell shown: -28.3
Polymorph energy (0 for the lowest one) in eV per atom: 0.0000
Calculated formation energy in eV per atom: 1.2088

=====

(12)
VASP calculation (PBE-GGA) on a relaxed CoRuPb crystal.

The structure in extended XYZ format:
```
3
Lattice="-4.2291 -0.0856 0.2400 -1.8958 -0.8156 3.7001 -2.0685 3.0806 2.0448" Properties=species:S:1:pos:R:3 pbc="T T T"
Co -6.1450 1.6345 4.4887
Pb 0.0000 0.0000 0.0000
Ru -4.0967 1.0897 2.9924
```

Computed properties:
Calculated total energy in eV for the cell shown: -18.5
Polymorph energy (0 for the lowest one) in eV per atom: 0.0000
Calculated formation energy in eV per atom: 0.5449

=====

- calculated total energy of number 6 (CoRu2Pb)?
  -27.4 eV for the cell shown

=====

Copy entry 1 word for word.
VASP calculation (PBE-GGA) on a relaxed TlCo2RhPb crystal.

The structure in extended XYZ format:
```
5
Lattice="4.8346 0.0000 0.0000 0.0000 5.0908 0.0000 0.0000 0.0000 4.8346" Properties=species:S:1:pos:R:3 pbc="T T T"
Pb 0.0000 0.0000 0.0000
Co 0.0000 0.0000 2.4173
Co 2.4173 0.0000 0.0000
Tl 2.4173 2.5454 2.4173
Rh 0.0000 2.5454 0.0000
```

Computed properties:
Calculated total energy in eV for the cell shown: -20.9
Calculated formation energy in eV per atom: 1.3435

=====

- What is the formula in the twelfth record?
  CoRuPb

=====

- Look up the calculated total energy of the tenth one.
  -27.3 eV for the cell shown